Cs2NaCl4 | PBE-GGA | optimized geometry

electronic total energy = -3.0101 eV per atom
ρ = 2.78 g/cm³
D(E_F) = 13.81 states/eV/f.u.
total moment = 1.174 μB per cell

Cell lengths 9.580, 9.580, 9.580 Å; angles 147.19, 147.19, 47.08 degrees
Atoms (fractional coordinates):
Cs (0.138, 0.138, 0.000)
Cs (0.862, 0.862, 0.000)
Na (0.500, 0.500, 0.000)
Cl (0.000, 0.500, 0.500)
Cl (0.338, 0.338, 0.000)
Cl (0.500, 0.000, 0.500)
Cl (0.662, 0.662, 0.000)

***

Cs2NaCl | PBE-GGA | optimized geometry

ρ = 2.63 g/cm³
D(E_F) = 1.45 states/eV/f.u.
total moment = 0.000 μB per cell
offset from the most stable computed form = 7 meV per atom

Cell lengths 4.410, 4.410, 10.532 Å; angles 90.00, 90.00, 90.00 degrees
Atoms (fractional coordinates):
Cs (0.000, 0.000, 0.193)
Cs (0.000, 0.000, 0.807)
Na (0.500, 0.500, 0.500)
Cl (0.500, 0.500, 0.000)